Record 1
Here is a geometry-optimized NbTl2Br4Cl2 structure from Alexandria via LeMat-Bulk. Energies are from PBE-GGA.

Calculated values
- formation energy from raw total energies (meV/atom) = -964
- E_tot (eV per atom) = -3.763
- magnetic moment (μB per atom) = 0.1113
- SG = No. 12

Cell and atoms, written as CIF:
```
data_NbTl2Br4Cl2
_cell_length_a 6.6478
_cell_length_b 7.2346
_cell_length_c 7.2346
_cell_angle_alpha 63.85
_cell_angle_beta 80.11
_cell_angle_gamma 80.11
_symmetry_space_group_name_H-M 'P 1'
_symmetry_Int_Tables_number 1
loop_
_symmetry_equiv_pos_as_xyz
'x,y,z'
loop_
_atom_site_label
_atom_site_type_symbol
_atom_site_fract_x
_atom_site_fract_y
_atom_site_fract_z
_atom_site_occupancy
Cl1 Cl 0.2213 0.1569 0.1569 1
Cl2 Cl 0.7787 0.8431 0.8431 1
Nb1 Nb 0.5000 0.0000 0.0000 1
Tl1 Tl 0.7142 0.3252 0.3252 1
Tl2 Tl 0.2858 0.6748 0.6748 1
Br1 Br 0.3135 0.1497 0.6633 1
Br2 Br 0.3135 0.6633 0.1497 1
Br3 Br 0.6865 0.8503 0.3367 1
Br4 Br 0.6865 0.3367 0.8503 1
```

Record 2
Here is a geometry-optimized Rb2CuTc structure from Alexandria via LeMat-Bulk. Energies are from PBE-GGA.

Calculated values
- energy of formation (eV per atom) = 1.17
- E_tot (eV per atom) = -2.931
- magnetic moment (μB per atom) = 0.9268
- SG = No. 122

Cell and atoms, written as CIF:
```
data_Rb2CuTc
_cell_length_a 12.7435
_cell_length_b 12.7435
_cell_length_c 9.3349
_cell_angle_alpha 46.95
_cell_angle_beta 46.95
_cell_angle_gamma 90.00
_symmetry_space_group_name_H-M 'P 1'
_symmetry_Int_Tables_number 1
loop_
_symmetry_equiv_pos_as_xyz
'x,y,z'
loop_
_atom_site_label
_atom_site_type_symbol
_atom_site_fract_x
_atom_site_fract_y
_atom_site_fract_z
_atom_site_occupancy
Cu1 Cu 0.2500 0.7500 0.5000 1
Cu2 Cu 0.5000 0.5000 0.0000 1
Rb1 Rb 0.2998 0.6250 0.2500 1
Rb2 Rb 0.4502 0.1250 0.2500 1
Rb3 Rb 0.3750 0.5498 0.7500 1
Rb4 Rb 0.8750 0.7002 0.7500 1
Tc1 Tc 0.0000 0.0000 0.0000 1
Tc2 Tc 0.7500 0.2500 0.5000 1
```

Record 3
Here is a geometry-optimized AcPrGaPd structure from Alexandria via LeMat-Bulk. Energies are from PBE-GGA.

Calculated values
- energy of formation (eV per atom) = -0.54
- E_tot (eV per atom) = -4.817
- magnetic moment (μB per atom) = 0.0000
- SG = No. 216

Cell and atoms, written as CIF:
```
data_AcPrGaPd
_cell_length_a 5.3605
_cell_length_b 5.3605
_cell_length_c 5.3605
_cell_angle_alpha 60.00
_cell_angle_beta 60.00
_cell_angle_gamma 60.00
_symmetry_space_group_name_H-M 'P 1'
_symmetry_Int_Tables_number 1
loop_
_symmetry_equiv_pos_as_xyz
'x,y,z'
loop_
_atom_site_label
_atom_site_type_symbol
_atom_site_fract_x
_atom_site_fract_y
_atom_site_fract_z
_atom_site_occupancy
Ga1 Ga 0.5000 0.5000 0.5000 1
Ac1 Ac 0.7500 0.7500 0.7500 1
Pr1 Pr 0.2500 0.2500 0.2500 1
Pd1 Pd 0.0000 0.0000 0.0000 1
```

- Which value of magnetic moment does entry 2 give?
  0.9268 μB per atom

- Which value of E_tot does entry 1 give?
  -3.763 eV per atom

- Which value of E_tot does entry 1 give?
  -3.763 eV per atom

- What is the formula in the first record?
  NbTl2Br4Cl2